(1)
# KSrSb2I

KSrSb2I after structural relaxation (PBE, Alexandria via LeMat-Bulk).

The space group is P4/mmm (No. 123) and the conventional cell measures 5.902, 5.902 and 6.208 Å, with angles of 90.00, 90.00 and 90.00 degrees. Symmetry generates all atoms from K at (0.000, 0.000, 0.000), Sr at (0.500, 0.500, 0.500), Sb at (0.000, 0.500, 0.000) and I at (0.000, 0.000, 0.500).

Its size of the total moment is 0.49 μB per cell. As for the uncorrected formation energy: 0.162 eV/atom. The value obtained for the relative energy among the computed polymorphs is 34.9 kJ/mol of atoms.

***

(2)
# CaTiTe2

CaTiTe2 after structural relaxation (PBE, Alexandria via LeMat-Bulk).

The space group is I-42d (No. 122) and the conventional cell measures 6.728, 6.728 and 13.441 Å, with angles of 90.00, 90.00 and 90.00 degrees. Symmetry generates all atoms from Ca at (0.000, 0.000, 0.000), Ti at (0.000, 0.000, 0.500) and Te at (0.209, 0.250, 0.625).

Its size of the total moment is 8.00 μB per cell. As for the uncorrected formation energy: -0.736 eV/atom. The value obtained for the relative energy among the computed polymorphs is 0.6 kJ/mol of atoms.

***

(3)
# Os3RuO

Os3RuO after structural relaxation (PBE, Alexandria via LeMat-Bulk).

The space group is Pm-3m (No. 221) and the conventional cell measures 4.057, 4.057 and 4.057 Å, with angles of 90.00, 90.00 and 90.00 degrees. Symmetry generates all atoms from Os at (0.000, 0.000, 0.500), Ru at (0.500, 0.500, 0.500) and O at (0.000, 0.000, 0.000).

Its size of the total moment is 0.00 μB per cell. As for the uncorrected formation energy: 0.889 eV/atom. The value obtained for the relative energy among the computed polymorphs is 0.0 kJ/mol of atoms.

***

(4)
# TaW2Cl

TaW2Cl after structural relaxation (PBE, Alexandria via LeMat-Bulk).

The space group is I-4m2 (No. 119) and the conventional cell measures 4.960, 4.960 and 5.524 Å, with angles of 90.00, 90.00 and 90.00 degrees. Symmetry generates all atoms from Ta at (0.000, 0.000, 0.000), W at (0.000, 0.000, 0.500), W at (0.000, 0.500, 0.250) and Cl at (0.000, 0.500, 0.750).

Its size of the total moment is 0.00 μB per cell. As for the uncorrected formation energy: 0.933 eV/atom. The value obtained for the relative energy among the computed polymorphs is 67.2 kJ/mol of atoms.

***

(5)
# YNpZn4

YNpZn4 after structural relaxation (PBE, Alexandria via LeMat-Bulk).

The space group is F-43m (No. 216) and the conventional cell measures 7.720, 7.720 and 7.720 Å, with angles of 90.00, 90.00 and 90.00 degrees. Symmetry generates all atoms from Y at (0.000, 0.000, 0.000), Np at (0.250, 0.250, 0.250) and Zn at (0.125, 0.125, 0.625).

Its size of the total moment is 16.02 μB per cell. The formation energy from the elements is -0.083 eV per atom.

***

(6)
# SiAgPCl2

SiAgPCl2 after structural relaxation (PBE, Alexandria via LeMat-Bulk).

The space group is P4/mmm (No. 123) and the conventional cell measures 4.666, 4.666 and 4.895 Å, with angles of 90.00, 90.00 and 90.00 degrees. Symmetry generates all atoms from Si at (0.000, 0.000, 0.000), Ag at (0.500, 0.500, 0.500), P at (0.000, 0.000, 0.500) and Cl at (0.000, 0.500, 0.000).

Its size of the total moment is 0.76 μB per cell. As for the uncorrected formation energy: 0.226 eV/atom. The value obtained for the relative energy among the computed polymorphs is 0.0 kJ/mol of atoms.

***

(7)
# BeFe2Cl

BeFe2Cl after structural relaxation (PBE, Alexandria via LeMat-Bulk).

The space group is I-42d (No. 122) and the conventional cell measures 4.947, 4.947 and 9.265 Å, with angles of 90.00, 90.00 and 90.00 degrees. Symmetry generates all atoms from Be at (0.000, 0.000, 0.000), Fe at (0.241, 0.250, 0.125) and Cl at (0.000, 0.000, 0.500).

Its size of the total moment is 4.09 μB per cell. As for the uncorrected formation energy: 0.966 eV/atom. The value obtained for the relative energy among the computed polymorphs is 85.1 kJ/mol of atoms.

***

(8)
# La5PrHo

La5PrHo after structural relaxation (PBE, Alexandria via LeMat-Bulk).

The space group is C2/c (No. 15) and the conventional cell measures 12.133, 7.034 and 12.855 Å, with angles of 90.00, 113.09 and 90.00 degrees. Symmetry generates all atoms from La at (0.000, 0.093, 0.250), La at (0.077, 0.233, 0.000), La at (0.222, 0.120, 0.752), Pr at (0.000, 0.464, 0.750) and Ho at (0.250, 0.250, 0.500).

Its size of the total moment is 0.00 μB per cell. The formation energy from the elements is 0.130 eV per atom. The value obtained for the relative energy among the computed polymorphs is 0.0 kJ/mol of atoms.